{"formula": "LuHfCuAu", "functional": "GGA-PBE", "state": "optimized geometry", "lattice_angstrom": [[4.809, 0.000, 0.000], [2.405, 4.165, 0.000], [2.405, 1.388, 3.927]], "species": ["Au", "Cu", "Hf", "Lu"], "fractional_positions": [[0.750, 0.750, 0.750], [0.250, 0.250, 0.250], [0.500, 0.500, 0.500], [0.000, 0.000, 0.000]], "total_energy_ev_per_atom": -5.83, "vol_a3_per_cell": 78.7, "formation_enthalpy_0k_mev_per_atom": -366, "sg": "F-43m (216)"}